Entry from the Alexandria database: a relaxed Y2AsCl crystal (PBE).

abc: 7.1362 7.1362 7.1362
angles: 148.86 148.40 44.96
Positions (direct):
Y: 0.9649 0.9649 0.0000
Y: 0.7014 0.2014 0.5000
As: 0.5425 0.5425 0.0000
Cl: 0.2912 0.7912 0.5000

Calculated values
E_form (uncorrected) ... -5.161 eV per formula unit

---

Entry from the Alexandria database: a relaxed Rb3ErBr6 crystal (PBE).

abc: 8.1410 8.6287 11.6240
angles: 90.00 89.08 90.00
Positions (direct):
Rb: 0.5287 0.9255 0.7555
Rb: 0.5000 0.5000 0.0000
Rb: 0.4713 0.0745 0.2445
Rb: 0.0287 0.5745 0.2555
Rb: 0.0000 0.0000 0.5000
Rb: 0.9713 0.4255 0.7445
Er: 0.5000 0.5000 0.5000
Er: 0.0000 0.0000 0.0000
Br: 0.7241 0.1758 0.9464
Br: 0.6631 0.2311 0.5715
Br: 0.6229 0.4514 0.2774
Br: 0.3771 0.5486 0.7226
Br: 0.3369 0.7689 0.4285
Br: 0.2759 0.8242 0.0536
Br: 0.2241 0.3242 0.4464
Br: 0.1631 0.2689 0.0715
Br: 0.1229 0.0486 0.7774
Br: 0.8771 0.9514 0.2226
Br: 0.8369 0.7311 0.9285
Br: 0.7759 0.6758 0.5536

Calculated values
E_form (uncorrected) ... -18.372 eV per formula unit

---

Entry from the Alexandria database: a relaxed ReSBr3 crystal (PBE).

abc: 5.2283 5.2283 5.2283
angles: 90.00 90.00 90.00
Positions (direct):
Re: 0.5000 0.5000 0.5000
S: 0.0000 0.0000 0.0000
Br: 0.0000 0.5000 0.0000
Br: 0.0000 0.0000 0.5000
Br: 0.5000 0.0000 0.0000

Calculated values
E_form (uncorrected) ... 6.446 eV per formula unit

---

Entry from the Alexandria database: a relaxed Pu3GeP2 crystal (PBE).

abc: 6.9512 7.0355 7.0355
angles: 119.51 99.73 99.73
Positions (direct):
Pu: 0.9992 0.1460 0.3230
Pu: 0.4992 0.3230 0.1460
Pu: 0.0000 0.5000 0.0000
Pu: 0.0008 0.8540 0.6770
Pu: 0.5000 0.0000 0.5000
Pu: 0.5008 0.6770 0.8540
Ge: 0.2500 0.5787 0.4213
Ge: 0.7500 0.4213 0.5787
P: 0.2500 0.9165 0.0835
P: 0.2500 0.2539 0.7461
P: 0.7500 0.0835 0.9165
P: 0.7500 0.7461 0.2539

Calculated values
DFT formation energy ... -4.78 eV per formula unit

---

Entry from the Alexandria database: a relaxed Ac5HoTl6 crystal (PBE).

abc: 5.7797 9.9575 9.9930
angles: 60.12 73.24 54.63
Positions (direct):
Ac: 0.5000 0.1760 0.6481
Ac: 0.0000 0.3372 0.3256
Ac: 0.5000 0.5000 0.0000
Ac: 0.0000 0.6628 0.6744
Ac: 0.5000 0.8240 0.3519
Ho: 0.0000 0.0000 0.0000
Tl: 0.7664 0.0771 0.3158
Tl: 0.2336 0.6071 0.3158
Tl: 0.2774 0.2241 0.0000
Tl: 0.7226 0.7759 0.0000
Tl: 0.7664 0.3929 0.6842
Tl: 0.2336 0.9229 0.6842

Calculated values
DFT formation energy ... -4.03 eV per formula unit

---

Entry from the Alexandria database: a relaxed MgMoPb2Cl crystal (PBE).

abc: 5.7908 5.0371 5.7908
angles: 90.00 90.00 90.00
Positions (direct):
Pb: 0.0000 0.0000 0.5000
Pb: 0.5000 0.0000 0.0000
Mo: 0.0000 0.5000 0.0000
Mg: 0.5000 0.5000 0.5000
Cl: 0.0000 0.0000 0.0000

Calculated values
E_form (uncorrected) ... 4.252 eV per formula unit

---

Entry from the Alexandria database: a relaxed Y2ZrTlTe crystal (PBE).

abc: 5.6632 5.4435 5.6632
angles: 90.00 90.00 90.00
Positions (direct):
Y: 0.0000 0.0000 0.5000
Y: 0.5000 0.0000 0.0000
Tl: 0.5000 0.5000 0.5000
Te: 0.0000 0.5000 0.0000
Zr: 0.0000 0.0000 0.0000

Calculated values
E_form (uncorrected) ... 1.360 eV per formula unit

---

Entry from the Alexandria database: a relaxed Pm4AlPI2 crystal (PBE).

abc: 4.1675 7.5360 8.1200
angles: 107.23 90.00 90.00
Positions (direct):
Pm: 0.5000 0.2505 0.2062
Pm: 0.5000 0.7495 0.7938
Pm: 0.0000 0.2784 0.8065
Pm: 0.0000 0.7216 0.1935
Al: 0.0000 0.0000 0.0000
P: 0.5000 0.5000 0.0000
I: 0.5000 0.0000 0.5000
I: 0.0000 0.5000 0.5000

Calculated values
E_form (uncorrected) ... -7.644 eV per formula unit

---

Record order is preserved below.
Size of the total moment: 0.410 0.000 1.173 2.452 0.000 0.681 0.000 0.000 μB/atom